# LaNi

LaNi after structural relaxation (PBE, the Alexandria database).

Cell: 6.0836 6.0836 6.0836 Å, 141.23 141.23 56.00°
Positions (direct):
La1 0.3750 0.6250 0.7500
La2 0.6250 0.3750 0.2500
Ni1 0.1250 0.8750 0.2500
Ni2 0.8750 0.1250 0.7500

As for the formation energy: -97 meV/atom.